Entry a
This record from Alexandria via LeMat-Bulk describes a geometry-optimized WSN2F structure. The functional is GGA+U.

abc: 4.049 4.049 4.128
angles: 90.00 90.00 90.00
Positions (direct):
W (0.000, 0.000, 0.000)
S (0.500, 0.500, 0.500)
N (0.000, 0.500, 0.000)
N (0.500, 0.000, 0.000)
F (0.000, 0.000, 0.500)

D(E_F): 2.079 states/eV/cell

=====

Entry b
This record from Alexandria via LeMat-Bulk describes a geometry-optimized WSN2F structure. The functional is GGA+U.

abc: 3.537 3.537 4.946
angles: 90.00 90.00 90.00
Positions (direct):
W (0.000, 0.000, 0.000)
S (0.500, 0.500, 0.500)
N (0.000, 0.500, 0.500)
N (0.500, 0.000, 0.500)
F (0.500, 0.500, 0.000)

D(E_F): 1.909 states/eV/cell

=====

Entry c
This record from Alexandria via LeMat-Bulk describes a geometry-optimized WSN2F structure. The functional is GGA+U.

abc: 3.974 3.974 4.869
angles: 90.00 90.00 90.00
Positions (direct):
W (0.000, 0.000, 0.000)
S (0.000, 0.000, 0.500)
N (0.000, 0.500, 0.000)
N (0.500, 0.000, 0.000)
F (0.500, 0.500, 0.500)

D(E_F): 1.494 states/eV/cell

=====

Entry d
This record from Alexandria via LeMat-Bulk describes a geometry-optimized WSN2F structure. The functional is GGA+U.

abc: 3.950 3.950 3.827
angles: 90.00 90.00 90.00
Positions (direct):
W (0.000, 0.000, 0.000)
S (0.500, 0.500, 0.000)
N (0.000, 0.500, 0.500)
N (0.500, 0.000, 0.500)
F (0.500, 0.500, 0.500)

D(E_F): 1.492 states/eV/cell

=====

How do the structures above rank in stability at the extremes? entry a comes first and entry d comes last.